{"formula": "Li2CoCu", "functional": "GGA-PBE", "state": "relaxed", "delta_e_f_kj_per_mol_fu": 81, "dft_energy_ev_per_fu": -14.193, "crystal_system": "cubic", "e_above_lowest_polymorph_ev_per_atom": 0.124, "lattice": [[0.000, 2.908, 2.908], [2.908, 0.000, 2.908], [2.908, 2.908, 0.000]], "species": ["Li", "Li", "Co", "Cu"], "fractional_positions": [[0.000, 0.000, 0.000], [0.250, 0.250, 0.250], [0.500, 0.500, 0.500], [0.750, 0.750, 0.750]]}

=====

{"formula": "KTiCrBi2", "functional": "GGA-PBE", "state": "relaxed", "delta_e_f_kj_per_mol_fu": 363, "dft_energy_ev_per_fu": -22.614, "crystal_system": "tetragonal", "lattice": [[5.431, 0.000, 0.000], [0.000, 5.431, 0.000], [0.000, 0.000, 5.941]], "species": ["K", "Ti", "Cr", "Bi", "Bi"], "fractional_positions": [[0.000, 0.000, 0.000], [0.000, 0.000, 0.500], [0.500, 0.500, 0.000], [0.000, 0.500, 0.500], [0.500, 0.000, 0.500]]}

=====

{"formula": "Pr4Sm3Sc2", "functional": "GGA-PBE", "state": "relaxed", "delta_e_f_kj_per_mol_fu": 85, "dft_energy_ev_per_fu": -45.053, "crystal_system": "monoclinic", "e_above_lowest_polymorph_ev_per_atom": 0.000, "lattice": [[6.416, -1.825, 0.000], [6.416, 1.825, 0.000], [-6.118, 0.000, 12.830]], "species": ["Pr", "Pr", "Pr", "Pr", "Sm", "Sm", "Sm", "Sc", "Sc"], "fractional_positions": [[0.218, 0.218, 0.372], [0.275, 0.275, 0.882], [0.725, 0.725, 0.118], [0.782, 0.782, 0.628], [0.000, 0.000, 0.500], [0.010, 0.010, 0.887], [0.990, 0.990, 0.113], [0.454, 0.454, 0.293], [0.546, 0.546, 0.707]]}

=====

{"formula": "CrSi2Hg", "functional": "GGA-PBE", "state": "relaxed", "e_form_raw_kj_per_mol_atoms": 49, "dft_energy_ev_per_fu": -18.756, "crystal_system": "orthorhombic", "lattice": [[-1.428, 2.356, 4.909], [1.428, -2.356, 4.909], [1.428, 2.356, -4.909]], "species": ["Cr", "Si", "Si", "Hg"], "fractional_positions": [[0.000, 0.000, 0.000], [0.558, 0.558, 0.000], [0.793, 0.293, 0.500], [0.270, 0.770, 0.500]]}

=====

{"formula": "PaBe4V", "functional": "GGA-PBE", "state": "relaxed", "delta_e_f_kj_per_mol_fu": 52, "dft_energy_ev_per_fu": -32.982, "crystal_system": "cubic", "lattice": [[0.000, 3.348, 3.348], [3.348, 0.000, 3.348], [3.348, 3.348, 0.000]], "species": ["Pa", "Be", "Be", "Be", "Be", "V"], "fractional_positions": [[0.000, 0.000, 0.000], [0.377, 0.377, 0.377], [0.377, 0.377, 0.868], [0.377, 0.868, 0.377], [0.868, 0.377, 0.377], [0.750, 0.750, 0.750]]}

=====

{"formula": "La2Al2Re", "functional": "GGA-PBE", "state": "relaxed", "delta_e_f_kj_per_mol_fu": 21, "dft_energy_ev_per_fu": -29.575, "crystal_system": "tetragonal", "lattice": [[6.947, 0.000, 0.000], [0.000, 6.947, 0.000], [0.000, 0.000, 4.861]], "species": ["La", "La", "La", "La", "Al", "Al", "Al", "Al", "Re", "Re"], "fractional_positions": [[0.173, 0.327, 0.000], [0.327, 0.827, 0.000], [0.673, 0.173, 0.000], [0.827, 0.673, 0.000], [0.142, 0.642, 0.500], [0.358, 0.142, 0.500], [0.642, 0.858, 0.500], [0.858, 0.358, 0.500], [0.000, 0.000, 0.500], [0.500, 0.500, 0.500]]}

=====

{"formula": "Pa2Ga3Re", "functional": "GGA-PBE", "state": "relaxed", "delta_e_f_kj_per_mol_fu": -158, "dft_energy_ev_per_fu": -42.154, "crystal_system": "monoclinic", "lattice": [[4.606, -2.650, 0.000], [4.606, 2.650, 0.000], [-3.070, 0.000, 4.618]], "species": ["Pa", "Pa", "Ga", "Ga", "Ga", "Re"], "fractional_positions": [[0.137, 0.137, 0.409], [0.863, 0.863, 0.591], [0.000, 0.500, 0.000], [0.500, 0.000, 0.000], [0.500, 0.500, 0.000], [0.500, 0.500, 0.500]]}

=====

{"formula": "SmInBi", "functional": "GGA-PBE", "state": "relaxed", "delta_e_f_kj_per_mol_fu": -102, "dft_energy_ev_per_fu": -12.393, "crystal_system": "tetragonal", "lattice": [[-2.020, 2.020, 5.381], [2.020, -2.020, 5.381], [2.020, 2.020, -5.381]], "species": ["Sm", "In", "Bi"], "fractional_positions": [[0.000, 0.000, 0.000], [0.678, 0.678, 0.000], [0.323, 0.323, 0.000]]}

=====

{"formula": "HfAg2C", "functional": "GGA-PBE", "state": "relaxed", "delta_e_f_kj_per_mol_fu": 227, "dft_energy_ev_per_fu": -22.525, "crystal_system": "tetragonal", "lattice": [[-1.768, 1.768, 10.708], [1.768, -1.768, 10.708], [1.768, 1.768, -10.708]], "species": ["Hf", "Hf", "Ag", "Ag", "Ag", "Ag", "C", "C"], "fractional_positions": [[0.000, 0.000, 0.000], [0.750, 0.250, 0.500], [0.128, 0.625, 0.003], [0.375, 0.378, 0.503], [0.622, 0.125, 0.997], [0.875, 0.872, 0.497], [0.250, 0.750, 0.500], [0.500, 0.500, 0.000]]}

=====

{"formula": "TaMnP2", "functional": "GGA-PBE", "state": "relaxed", "delta_e_f_kj_per_mol_fu": -49, "dft_energy_ev_per_fu": -32.345, "crystal_system": "tetragonal", "e_above_lowest_polymorph_ev_per_atom": 0.490, "lattice": [[2.870, 0.000, 0.000], [0.000, 2.870, 0.000], [0.000, 0.000, 7.846]], "species": ["Ta", "Mn", "P", "P"], "fractional_positions": [[0.000, 0.000, 0.000], [0.500, 0.500, 0.234], [0.000, 0.000, 0.365], [0.500, 0.500, 0.767]]}

=====

{"formula": "KAl2Ir", "functional": "GGA-PBE", "state": "relaxed", "delta_e_f_kj_per_mol_fu": 231, "dft_energy_ev_per_fu": -15.052, "crystal_system": "tetragonal", "e_above_lowest_polymorph_ev_per_atom": 0.800, "lattice": [[4.972, 0.000, 0.000], [0.000, 4.972, 0.000], [0.000, 0.000, 2.951]], "species": ["K", "Al", "Al", "Ir"], "fractional_positions": [[0.000, 0.000, 0.000], [0.000, 0.500, 0.500], [0.500, 0.000, 0.500], [0.500, 0.500, 0.000]]}

=====

{"formula": "KTc", "functional": "GGA-PBE", "state": "relaxed", "delta_e_f_kj_per_mol_fu": 281, "dft_energy_ev_per_fu": -8.552, "crystal_system": "hexagonal", "e_above_lowest_polymorph_ev_per_atom": 0.700, "lattice": [[2.810, 0.000, 0.000], [-1.405, 2.434, 0.000], [0.000, 0.000, 12.153]], "species": ["K", "K", "Tc", "Tc"], "fractional_positions": [[0.333, 0.667, 0.000], [0.667, 0.333, 0.500], [0.333, 0.667, 0.258], [0.667, 0.333, 0.758]]}

=====

{"formula": "PmZnIr", "functional": "GGA-PBE", "state": "relaxed", "delta_e_f_kj_per_mol_fu": -170, "dft_energy_ev_per_fu": -16.648, "crystal_system": "tetragonal", "e_above_lowest_polymorph_ev_per_atom": 0.022, "lattice": [[4.137, 0.000, 0.000], [0.000, 4.137, 0.000], [0.000, 0.000, 7.166]], "species": ["Pm", "Pm", "Zn", "Zn", "Ir", "Ir"], "fractional_positions": [[0.250, 0.250, 0.158], [0.750, 0.750, 0.842], [0.250, 0.750, 0.500], [0.750, 0.250, 0.500], [0.250, 0.250, 0.734], [0.750, 0.750, 0.266]]}

=====

{"formula": "HfZr2HS", "functional": "GGA-PBE", "state": "relaxed", "dft_energy_ev_per_fu": -28.909, "crystal_system": "tetragonal", "lattice": [[5.274, 0.000, 0.000], [0.000, 5.274, 0.000], [0.000, 0.000, 4.776]], "species": ["Hf", "Zr", "Zr", "H", "S"], "fractional_positions": [[0.000, 0.000, 0.000], [0.000, 0.500, 0.000], [0.500, 0.000, 0.000], [0.500, 0.500, 0.500], [0.000, 0.000, 0.500]]}

=====

{"formula": "Ti4BiC", "functional": "GGA-PBE", "state": "relaxed", "delta_e_f_kj_per_mol_fu": -145, "dft_energy_ev_per_fu": -46.184, "crystal_system": "monoclinic", "e_above_lowest_polymorph_ev_per_atom": 0.009, "lattice": [[3.661, -6.177, 0.000], [3.661, 6.177, 0.000], [-2.383, 0.000, 4.675]], "species": ["Ti", "Ti", "Ti", "Ti", "Ti", "Ti", "Ti", "Ti", "Bi", "Bi", "C", "C"], "fractional_positions": [[0.087, 0.680, 0.888], [0.127, 0.238, 0.687], [0.238, 0.127, 0.187], [0.320, 0.913, 0.612], [0.680, 0.087, 0.388], [0.762, 0.873, 0.813], [0.873, 0.762, 0.313], [0.913, 0.320, 0.112], [0.395, 0.605, 0.250], [0.605, 0.395, 0.750], [0.067, 0.933, 0.750], [0.933, 0.067, 0.250]]}

=====

{"formula": "KGaSn", "functional": "GGA-PBE", "state": "relaxed", "delta_e_f_kj_per_mol_fu": -61, "dft_energy_ev_per_fu": -8.758, "crystal_system": "monoclinic", "lattice": [[5.818, -2.497, 0.000], [5.818, 2.497, 0.000], [-5.474, 0.000, 5.899]], "species": ["K", "K", "Ga", "Ga", "Sn", "Sn"], "fractional_positions": [[0.248, 0.248, 0.169], [0.752, 0.752, 0.831], [0.078, 0.078, 0.432], [0.922, 0.922, 0.568], [0.414, 0.414, 0.749], [0.586, 0.586, 0.251]]}

=====

{"formula": "Cs2GeRuPb", "functional": "GGA-PBE", "state": "relaxed", "delta_e_f_kj_per_mol_fu": 341, "dft_energy_ev_per_fu": -15.774, "crystal_system": "tetragonal", "lattice": [[5.862, 0.000, 0.000], [0.000, 5.862, 0.000], [0.000, 0.000, 4.800]], "species": ["Cs", "Cs", "Ge", "Ru", "Pb"], "fractional_positions": [[0.000, 0.500, 0.000], [0.500, 0.000, 0.000], [0.000, 0.000, 0.500], [0.000, 0.000, 0.000], [0.500, 0.500, 0.500]]}

=====

{"formula": "Ca2Si4Pt3Au", "functional": "GGA-PBE", "state": "relaxed", "e_form_raw_kj_per_mol_atoms": -81, "dft_energy_ev_per_fu": -55.485, "crystal_system": "tetragonal", "lattice": [[4.264, 0.000, 0.000], [0.000, 4.264, 0.000], [0.000, 0.000, 9.958]], "species": ["Ca", "Ca", "Si", "Si", "Si", "Si", "Pt", "Pt", "Pt", "Au"], "fractional_positions": [[0.000, 0.500, 0.244], [0.500, 0.000, 0.756], [0.000, 0.000, 0.000], [0.000, 0.500, 0.635], [0.500, 0.000, 0.365], [0.500, 0.500, 0.000], [0.000, 0.500, 0.877], [0.500, 0.000, 0.123], [0.500, 0.500, 0.500], [0.000, 0.000, 0.500]]}

=====

{"formula": "Sr4HPb2", "functional": "GGA-PBE", "state": "relaxed", "dft_energy_ev_per_fu": -20.994, "crystal_system": "monoclinic", "lattice": [[6.743, 0.000, 0.000], [0.000, 7.457, 0.000], [-2.683, 0.000, 9.533]], "species": ["Sr", "Sr", "Sr", "Sr", "Sr", "Sr", "Sr", "Sr", "H", "H", "Pb", "Pb", "Pb", "Pb"], "fractional_positions": [[0.166, 0.250, 0.063], [0.251, 0.000, 0.723], [0.251, 0.500, 0.723], [0.278, 0.750, 0.360], [0.722, 0.250, 0.640], [0.749, 0.000, 0.277], [0.749, 0.500, 0.277], [0.834, 0.750, 0.937], [0.073, 0.250, 0.795], [0.927, 0.750, 0.205], [0.222, 0.250, 0.416], [0.377, 0.750, 0.032], [0.623, 0.250, 0.968], [0.778, 0.750, 0.584]]}

=====

{"formula": "ZrAs2Ru", "functional": "GGA-PBE", "state": "relaxed", "delta_e_f_kj_per_mol_fu": -69, "dft_energy_ev_per_fu": -27.842, "crystal_system": "trigonal", "e_above_lowest_polymorph_ev_per_atom": 0.425, "lattice": [[1.552, 0.896, 8.328], [-1.552, 0.896, 8.328], [0.000, -1.792, 8.328]], "species": ["Zr", "As", "As", "Ru"], "fractional_positions": [[0.000, 0.000, 0.000], [0.240, 0.240, 0.240], [0.760, 0.760, 0.760], [0.500, 0.500, 0.500]]}